Rb2BaAgCl6 | PBE-GGA | relaxed

```
10
Lattice="-3.992 3.992 5.491 3.992 -3.992 5.491 3.992 3.992 -5.491" Properties=species:S:1:pos:R:3 pbc="T T T"
Rb 3.992 0.000 2.746
Rb 0.000 3.992 2.746
Ba 0.000 0.000 0.000
Ag 0.000 0.000 5.491
Cl 2.104 2.104 0.000
Cl 1.888 -1.888 5.491
Cl 0.000 0.000 2.983
Cl 0.000 0.000 7.999
Cl -1.888 1.888 5.491
Cl 1.888 1.888 5.491
```

The calculation puts the energy relative to the elements, uncorrected at -1555 meV/atom. The value obtained for the energy is -3.334 eV/atom.

Rb3Dy2BiSe6 | PBE-GGA | relaxed

```
12
Lattice="3.711 -6.428 0.000 3.711 6.428 0.000 -2.475 0.000 7.993" Properties=species:S:1:pos:R:3 pbc="T T T"
Rb 0.000 0.000 0.000
Rb 3.711 2.113 0.000
Rb 3.711 -2.113 0.000
Dy 2.474 4.282 3.996
Dy 2.474 -4.282 3.996
Bi 2.474 0.000 3.996
Se 1.207 2.193 2.418
Se -0.059 0.000 5.570
Se 1.207 -2.193 2.418
Se 3.741 2.193 5.575
Se 5.007 0.000 2.423
Se 3.741 -2.193 5.575
```

The calculation puts the energy relative to the elements, uncorrected at -1423 meV/atom. The value obtained for the energy is -4.498 eV/atom.

Ca2SeCl2 | PBE-GGA | relaxed

```
5
Lattice="3.622 -2.091 0.000 3.622 2.091 0.000 -0.079 0.000 9.716" Properties=species:S:1:pos:R:3 pbc="T T T"
Ca 1.210 0.000 1.746
Ca 5.955 0.000 7.970
Se 3.622 0.000 0.000
Cl 1.126 0.000 6.609
Cl 6.038 0.000 3.107
```

The calculation puts the energy relative to the elements, uncorrected at -2244 meV/atom. The value obtained for the energy is -4.480 eV/atom.

TmTh4Sc3Se8 | PBE-GGA | relaxed

```
16
Lattice="3.933 2.271 7.065 -3.933 2.271 7.065 0.000 -4.541 7.065" Properties=species:S:1:pos:R:3 pbc="T T T"
Tm 0.000 0.000 0.000
Th -3.933 0.000 10.598
Th -1.966 1.135 3.533
Th 1.966 1.135 3.533
Th 0.000 0.000 10.598
Sc -1.966 -1.135 7.065
Sc -1.966 1.135 14.131
Sc 0.000 2.271 7.065
Se 0.000 -2.235 8.631
Se -1.935 1.117 8.631
Se 0.000 0.000 5.520
Se -1.935 -1.117 12.566
Se 1.935 1.117 8.631
Se 0.000 0.000 15.676
Se 1.935 -1.117 12.566
Se 0.000 2.235 12.566
```

The calculation puts the energy relative to the elements, uncorrected at -1569 meV/atom. The value obtained for the energy is -6.633 eV/atom.

Be2SbW | PBE-GGA | relaxed

```
4
Lattice="-1.755 2.037 3.979 1.755 -2.037 3.979 1.755 2.037 -3.979" Properties=species:S:1:pos:R:3 pbc="T T T"
Be 0.000 0.000 1.949
Be 0.000 0.000 6.008
Sb 0.000 2.037 0.000
W 1.755 0.000 0.000
```

The calculation puts the energy relative to the elements, uncorrected at 579 meV/atom. The value obtained for the energy is -5.553 eV/atom.

V3Cu5H12 | PBE-GGA | relaxed

```
80
Lattice="-5.251 5.251 5.251 5.251 -5.251 5.251 5.251 5.251 -5.251" Properties=species:S:1:pos:R:3 pbc="T T T"
V 2.626 1.313 0.000
V 5.251 2.626 -1.313
V 1.313 0.000 2.626
V 6.564 0.000 2.626
V 0.000 2.626 1.313
V 2.626 -1.313 5.251
V 2.626 6.564 0.000
V 5.251 2.626 3.938
V -1.313 5.251 2.626
V 3.938 5.251 2.626
V 0.000 2.626 6.564
V 2.626 3.938 5.251
Cu 0.000 0.000 0.000
Cu 2.626 2.626 -2.626
Cu 2.626 -2.626 2.626
Cu 5.251 0.000 0.000
Cu 7.877 1.313 0.000
Cu 5.251 -2.626 3.938
Cu 3.938 5.251 -2.626
Cu 3.938 0.000 2.626
Cu 2.626 3.938 0.000
Cu 5.251 2.626 1.313
Cu -2.626 2.626 2.626
Cu 0.000 5.251 0.000
Cu 0.000 0.000 5.251
Cu 2.626 2.626 2.626
Cu 0.000 2.626 3.938
Cu 2.626 1.313 5.251
Cu 1.313 5.251 2.626
Cu 1.313 0.000 7.877
Cu 0.000 7.877 1.313
Cu -2.626 3.938 5.251
H 1.647 -0.155 0.720
H 6.230 3.346 -2.780
H 6.898 0.155 0.720
H 6.230 -1.906 2.780
H 5.096 -0.720 1.647
H 8.032 -0.979 1.906
H 0.720 1.647 -0.155
H 7.157 2.471 -0.979
H 3.346 2.780 -0.979
H 4.531 1.647 0.155
H -0.155 0.720 1.647
H 2.780 -0.979 3.346
H 5.096 4.531 -1.647
H 2.780 0.979 1.906
H 3.346 -2.780 6.230
H 4.531 -1.647 5.096
H 1.906 2.780 0.979
H 5.971 3.604 0.155
H 2.780 6.230 -1.906
H 5.096 0.720 3.604
H 1.647 5.096 -0.720
H 6.230 1.906 2.471
H 0.979 1.906 2.780
H 1.647 0.155 4.531
H 3.604 5.096 0.720
H 4.272 3.346 2.471
H -0.979 3.346 2.780
H 3.604 0.155 5.971
H 0.155 4.531 1.647
H 2.471 -0.979 7.157
H -0.720 1.647 5.096
H 3.346 2.471 4.272
H 0.720 6.898 0.155
H 1.906 8.032 -0.979
H 2.471 4.272 3.346
H 0.155 0.720 6.898
H 2.471 6.230 1.906
H 5.406 4.531 3.604
H 0.720 3.604 5.096
H 1.906 2.471 6.230
H -1.906 2.780 6.230
H 4.531 3.604 5.406
H -2.780 6.230 3.346
H 0.155 5.971 3.604
H -0.979 7.157 2.471
H -1.647 5.096 4.531
H -0.979 1.906 8.032
H 3.604 5.406 4.531
```

The value obtained for the energy is -4.305 eV/atom.

CrTe2I | PBE-GGA | relaxed

```
8
Lattice="6.717 0.000 0.000 3.032 6.065 0.000 0.065 3.607 7.388" Properties=species:S:1:pos:R:3 pbc="T T T"
Cr 0.000 0.000 0.000
Cr 3.536 8.082 6.566
Te 1.548 3.000 0.537
Te 2.523 3.726 6.331
Te 3.828 4.167 1.791
Te 7.291 5.618 1.119
I 5.879 5.592 5.838
I 9.413 7.857 4.138
```

The calculation puts the energy relative to the elements, uncorrected at 16 meV/atom. The value obtained for the offset from the most stable computed form is 229 meV per atom. The value obtained for the energy is -4.348 eV/atom.

TiCuNiPt | PBE-GGA | relaxed

```
4
Lattice="0.000 3.013 3.013 3.013 0.000 3.013 3.013 3.013 0.000" Properties=species:S:1:pos:R:3 pbc="T T T"
Ti 0.000 0.000 0.000
Cu 3.013 3.013 3.013
Ni 1.506 1.506 1.506
Pt 4.519 4.519 4.519
```

The value obtained for the offset from the most stable computed form is 0 meV per atom. The value obtained for the energy is -6.429 eV/atom. Its formation energy is -184 kJ/mol of formula units.

Q: What is the energy in the fifth record?
A: -5.553 eV/atom

Q: Among the records above, which one has the highest energy?
A: Rb2BaAgCl6

Q: What is the energy in the seventh record?
A: -4.348 eV/atom